No. 1
GGA-PBE TlSbF5, optimized geometry; V = 22.8 Å³/atom; crystal system = triclinic; D(E_F) = 2.1 states/eV per cell; E = -4.43 eV/atom
1.0
5.672 2.806 1.466
2.585 5.774 1.463
-0.592 -0.617 12.286
Tl F Sb
2 10 2
Cartesian
5.432 5.644 11.744
1.600 1.663 4.138
2.755 2.851 6.262
7.648 7.940 9.406
0.452 0.479 2.007
0.264 0.276 11.489
3.809 3.965 1.799
6.765 7.033 4.394
2.340 2.427 9.063
4.695 4.875 6.819
4.286 4.447 9.620
6.573 6.834 13.876
3.519 3.650 7.941
7.937 8.254 3.263

---

No. 2
GGA-PBE TlSb2F6, optimized geometry; V = 21.1 Å³/atom; crystal system = monoclinic; D(E_F) = 1.5 states/eV per cell; E = -4.44 eV/atom
1.0
5.875 -0.851 -0.824
0.548 8.155 1.416
0.548 1.679 8.105
F Tl Sb
12 2 4
Cartesian
2.548 8.705 5.208
0.556 5.042 2.986
2.864 0.618 1.169
5.802 0.763 0.168
5.485 5.062 8.120
4.422 0.278 3.488
3.494 2.722 4.531
6.414 3.941 5.710
1.168 8.220 8.529
3.476 6.261 4.165
1.485 3.921 0.577
4.106 8.365 7.527
4.954 6.514 1.834
2.016 2.469 6.863
0.800 6.658 7.240
3.737 7.026 6.008
3.233 1.957 2.688
6.170 2.325 1.457

---

No. 3
GGA-PBE Tl5Sb2F12, optimized geometry; V = 20.1 Å³/atom; crystal system = monoclinic; D(E_F) = 6.2 states/eV per cell; E = -4.22 eV/atom
1.0
8.043 0.000 0.000
-4.022 7.038 -0.769
0.000 -3.288 7.118
Tl F Sb
5 12 2
Cartesian
4.022 1.674 2.697
0.000 2.076 3.652
0.000 3.871 0.629
4.022 -0.121 5.720
0.000 -1.644 3.559
2.427 3.722 4.214
4.022 -0.421 1.148
4.022 5.824 -0.566
1.595 0.028 2.136
6.449 0.028 2.136
0.000 4.171 5.201
2.477 2.118 0.428
1.545 1.632 5.921
5.566 2.118 0.428
-2.427 3.722 4.214
-1.545 1.632 5.921
0.000 -2.074 6.915
6.096 0.000 0.000
1.948 0.000 0.000

---

No. 4
GGA-PBE TlSbF6, optimized geometry; V = 19.9 Å³/atom; crystal system = monoclinic; D(E_F) = 0.0 states/eV per cell; E = -4.52 eV/atom
1.0
5.225 0.222 1.613
0.045 5.229 1.613
-0.112 -0.115 5.767
F Sb Tl
6 1 1
Cartesian
1.331 4.619 6.152
3.827 0.716 2.842
3.950 4.086 8.178
0.587 3.849 2.842
4.572 1.486 6.152
1.208 1.249 0.815
0.000 0.000 0.000
2.579 2.668 4.497

---

No. 5
GGA-PBE Tl2Sb2F, optimized geometry; V = 27.2 Å³/atom; crystal system = tetragonal; energy relative to the lowest polymorph listed for this composition = 0.05 eV/f.u.; D(E_F) = 2.7 states/eV per cell; E = -3.45 eV/atom
1.0
-5.317 -0.281 4.035
2.802 -5.063 3.339
2.665 3.974 3.789
Tl F Sb
4 2 4
Cartesian
0.553 -4.332 4.154
-2.592 -3.593 5.591
0.077 -1.752 1.783
-3.069 -1.012 3.220
-1.258 -2.672 3.687
0.000 0.000 0.000
2.104 -1.882 5.410
0.707 0.650 3.738
-1.954 0.512 5.754
-0.557 -2.020 7.426

---

No. 6
GGA-PBE TlSbF2, optimized geometry; V = 21.0 Å³/atom; crystal system = tetragonal; energy relative to the lowest polymorph listed for this composition = 1.11 eV/f.u.; D(E_F) = 3.6 states/eV per cell; E = -3.77 eV/atom
1.0
-4.764 -4.506 3.074
5.438 -3.601 3.148
0.147 -2.121 5.650
Sb F Tl
2 4 2
Cartesian
2.961 -4.888 5.954
0.337 -4.054 3.111
2.548 -3.620 3.952
0.696 -4.852 6.763
-1.969 -3.521 3.539
0.367 -8.464 9.489
0.000 0.000 0.000
-2.140 -5.341 5.917

---

No. 7
GGA-PBE Tl2Sb2F7, optimized geometry; V = 19.3 Å³/atom; crystal system = monoclinic; D(E_F) = 2.8 states/eV per cell; E = -4.34 eV/atom
1.0
7.187 0.340 0.388
-0.155 5.411 0.380
-0.155 -0.343 5.413
F Sb Tl
7 2 2
Cartesian
0.749 3.443 3.936
2.272 0.445 2.702
3.594 0.170 0.194
6.129 1.965 2.246
4.605 4.962 3.480
2.272 2.619 0.800
4.605 2.789 5.381
3.089 3.773 4.314
3.788 1.634 1.868
-0.155 1.030 4.212
-0.155 4.037 1.582

---

No. 8
GGA-PBE Tl3Sb2F9, optimized geometry; V = 22.4 Å³/atom; crystal system = trigonal; D(E_F) = 0.0 states/eV per cell; E = -4.39 eV/atom
1.0
6.807 0.000 0.000
-3.404 5.895 0.000
0.000 0.000 7.824
Sb F Tl
2 9 3
Cartesian
0.000 3.930 6.565
3.404 1.965 1.259
0.000 2.301 5.284
1.411 4.745 5.284
1.702 2.948 0.000
-1.411 4.745 5.284
3.404 3.595 2.540
3.404 0.000 0.000
-1.702 2.948 0.000
4.815 1.150 2.540
1.992 1.150 2.540
0.000 0.000 0.000
3.404 1.965 4.906
0.000 3.930 2.918

---

No. 9
GGA-PBE Tl12Sb3F5, optimized geometry; V = 32.0 Å³/atom; crystal system = cubic; D(E_F) = 39.5 states/eV per cell; E = -3.27 eV/atom
1.0
-10.051 -11.029 0.303
13.704 -5.790 -1.200
-0.957 7.950 12.595
F Sb Tl
20 12 48
Cartesian
-5.026 -5.514 0.151
2.028 0.040 7.498
1.826 -8.409 -0.449
0.667 -8.909 4.200
8.663 -2.740 3.861
6.374 1.080 5.698
-0.463 -4.589 1.388
-5.504 -1.539 6.449
-6.663 -2.039 11.098
0.000 0.000 0.000
3.159 -4.279 10.310
9.358 -6.830 0.600
-2.774 1.103 9.410
5.469 -9.972 2.288
3.643 -1.562 2.737
6.852 -2.895 -0.600
-0.948 -7.306 8.961
-5.967 -6.129 7.837
-0.478 3.975 6.298
1.348 -4.434 5.849
4.556 -5.767 2.512
-1.861 -3.102 9.185
10.017 -0.482 8.434
3.854 -8.369 7.049
-3.215 -5.359 4.612
5.911 -3.509 7.085
-1.159 -0.500 4.649
5.215 0.580 10.346
-7.321 -8.386 3.264
-2.519 -9.449 1.351
1.333 4.130 10.759
1.363 -12.999 0.939
2.126 -6.820 4.665
0.772 -9.736 1.748
1.027 -2.982 11.002
1.647 -10.585 5.914
-1.295 3.144 8.816
1.386 -0.345 2.379
-1.874 -8.495 4.473
1.924 0.867 9.949
3.117 -5.138 7.867
7.545 1.724 8.129
1.049 1.716 5.783
-4.044 -2.080 4.152
5.306 -2.831 10.286
-6.057 -5.356 2.722
7.157 -5.495 0.318
-4.461 -3.373 11.380
1.669 -5.887 0.696
4.532 3.892 9.877
3.991 -12.013 2.882
4.142 -14.115 -0.511
1.310 -8.523 9.319
-4.578 -4.003 7.328
-8.519 -5.709 7.960
-1.709 -5.892 10.992
-5.251 -7.666 5.880
8.166 -0.627 11.298
4.570 -0.374 7.225
0.570 -2.049 7.033
-3.111 -0.554 7.448
-1.738 -0.456 11.200
7.946 -1.203 5.818
11.215 -3.159 3.738
4.434 -8.412 0.498
4.405 -2.977 0.706
-2.610 -6.037 1.412
3.580 -3.364 4.596
-8.799 -3.492 11.271
8.753 -3.512 8.976
6.740 -6.788 7.545
5.806 -8.315 4.249
-1.446 5.247 12.208
7.274 -4.866 4.370
-0.884 -5.505 7.102
-1.836 -12.760 1.821
11.494 -5.376 0.427
-5.470 -8.242 0.399
-0.421 -3.730 3.830
-4.849 -10.592 3.569

---

No. 10
GGA-PBE TlSbF2, optimized geometry; V = 22.2 Å³/atom; crystal system = trigonal; energy relative to the lowest polymorph listed for this composition = 0.00 eV/f.u.; D(E_F) = 0.8 states/eV per cell; E = -4.05 eV/atom
1.0
-3.788 6.071 -4.301
-5.182 6.462 -1.051
-2.016 7.897 -1.814
F Tl Sb
2 1 1
Cartesian
-0.998 1.857 -0.651
-9.988 18.573 -6.515
-5.493 10.215 -3.583
0.000 0.000 0.000

---

No. 11
GGA-PBE TlSbF2, optimized geometry; V = 18.3 Å³/atom; crystal system = cubic; energy relative to the lowest polymorph listed for this composition = 2.19 eV/f.u.; D(E_F) = 4.0 states/eV per cell; E = -3.50 eV/atom
1.0
0.000 3.323 3.323
3.323 0.000 3.323
3.323 3.323 0.000
Sb Tl F
1 1 2
Cartesian
0.000 0.000 0.000
3.323 3.323 3.323
1.662 1.662 1.662
4.985 4.985 4.985

---

No. 12
GGA-PBE Tl2SbF, optimized geometry; V = 24.5 Å³/atom; crystal system = cubic; energy relative to the lowest polymorph listed for this composition = 0.00 eV/f.u.; D(E_F) = 0.7 states/eV per cell; E = -3.30 eV/atom
1.0
4.865 0.280 1.742
1.032 -1.014 4.968
2.541 -4.320 1.285
Sb F Tl
1 1 2
Cartesian
4.219 -2.527 3.998
0.000 0.000 0.000
2.109 -1.263 1.999
6.328 -3.790 5.996

---

No. 13
GGA-PBE Tl3SbF6, optimized geometry; V = 23.1 Å³/atom; crystal system = orthorhombic; energy relative to the lowest polymorph listed for this composition = 0.51 eV/f.u.; E = -4.21 eV/atom
1.0
6.326 0.033 0.000
-0.951 6.254 0.000
-2.687 -3.143 5.843
F Sb Tl
6 1 3
Cartesian
1.642 1.920 4.310
0.715 4.829 0.000
-1.642 -1.920 4.310
4.660 1.457 0.000
1.046 1.223 1.533
4.329 5.063 1.533
0.000 0.000 0.000
2.687 3.143 0.000
3.163 0.016 2.922
-0.475 3.127 2.922

---

No. 14
GGA-PBE Tl2Sb2F, optimized geometry; V = 31.4 Å³/atom; crystal system = tetragonal; energy relative to the lowest polymorph listed for this composition = 0.00 eV/f.u.; D(E_F) = 1.5 states/eV per cell; E = -3.46 eV/atom
1.0
-2.782 -0.318 -3.071
3.065 -0.774 -2.697
-0.660 -9.460 -1.236
Sb F Tl
2 1 2
Cartesian
1.273 -5.390 -3.409
-1.651 -5.162 -3.595
0.000 0.000 0.000
0.002 -2.102 -2.596
-0.379 -8.450 -4.408

---

No. 15
GGA-PBE Tl2SbF, optimized geometry; V = 32.3 Å³/atom; crystal system = tetragonal; energy relative to the lowest polymorph listed for this composition = 0.24 eV/f.u.; D(E_F) = 0.7 states/eV per cell; E = -3.24 eV/atom
1.0
5.884 0.000 0.000
0.000 5.884 0.000
2.942 2.942 7.457
F Sb Tl
2 2 4
Cartesian
2.942 2.942 0.000
2.942 5.884 3.729
0.000 0.000 0.000
5.884 2.942 3.729
7.355 6.932 5.593
1.894 4.413 1.864
4.413 4.836 5.593
3.990 1.471 1.864

---

No. 16
GGA-PBE Tl3SbF6, optimized geometry; V = 21.8 Å³/atom; crystal system = monoclinic; energy relative to the lowest polymorph listed for this composition = 0.00 eV/f.u.; D(E_F) = 0.0 states/eV per cell; E = -4.26 eV/atom
1.0
6.629 0.000 0.038
0.000 6.892 0.000
-0.030 0.000 9.530
Tl F Sb
6 12 2
Cartesian
6.525 3.168 7.180
3.374 6.614 7.173
-0.015 0.000 4.765
3.315 3.446 0.019
3.225 0.278 2.396
0.074 3.724 2.388
5.125 4.610 5.274
0.720 0.338 7.463
4.774 1.164 9.079
4.350 1.595 5.416
5.879 6.554 2.105
1.474 2.282 4.295
1.050 1.851 0.631
2.550 3.784 6.852
4.049 3.108 2.717
2.249 5.297 4.153
1.826 5.728 0.490
5.549 5.041 8.937
3.300 3.446 4.784
0.000 0.000 0.000

---

No. 17
GGA-PBE TlSb3F, optimized geometry; V = 37.1 Å³/atom; crystal system = cubic; energy relative to the lowest polymorph listed for this composition = 4.17 eV/f.u.; D(E_F) = 6.8 states/eV per cell; E = -2.61 eV/atom
1.0
-2.123 2.890 4.437
2.817 -3.431 3.583
4.483 3.524 -0.150
Sb Tl F
3 1 1
Cartesian
-1.062 1.445 2.218
1.408 -1.715 1.791
2.242 1.762 -0.075
0.000 0.000 0.000
2.588 1.492 3.935

---

No. 18
GGA-PBE Tl3SbF7, optimized geometry; V = 22.4 Å³/atom; crystal system = monoclinic; D(E_F) = 3.0 states/eV per cell; E = -4.25 eV/atom
1.0
5.823 0.073 2.360
-0.630 5.789 2.360
0.077 0.087 7.362
Sb Tl F
1 3 7
Cartesian
0.137 0.154 7.386
4.317 1.586 5.892
1.053 4.477 5.892
2.787 3.147 9.658
-0.209 4.039 3.318
4.035 0.281 3.318
5.614 2.087 8.941
0.838 0.946 1.727
4.547 5.133 10.423
1.393 5.825 8.941
2.580 2.913 4.708

---

No. 19
GGA-PBE TlSb3F, optimized geometry; V = 26.2 Å³/atom; crystal system = cubic; energy relative to the lowest polymorph listed for this composition = 0.00 eV/f.u.; D(E_F) = 3.4 states/eV per cell; E = -3.45 eV/atom
1.0
5.077 0.000 0.000
0.000 5.077 0.000
0.000 0.000 5.077
Sb Tl F
3 1 1
Cartesian
0.000 2.539 0.000
2.539 0.000 0.000
0.000 0.000 2.539
2.539 2.539 2.539
0.000 0.000 0.000

---

Formation energy from raw total energies in kJ/mol of formula units, matching the order above: -1460 -1746 -3626 -1782 -230 -468 -2094 -2820 -1476 -575 -364 -239 -1898 -235 -216 -1947 342 -2167 -60